Record 1
Here is an optimized crystal structure of Cr2HgOs2 from Alexandria. Energies are from GGA-PBE.

Calculated values
Its final energy is -80.393 eV per cell. As for the space group: P4/mbm (127). For the formation enthalpy at 0 K, the calculation gives 0.362 eV/atom.

Unit cell a=7.421 b=7.421 c=2.727 alpha=90.00 beta=90.00 gamma=90.00
Positions (direct):
Cr 0.160 0.340 0.000
Cr 0.340 0.840 0.000
Cr 0.660 0.160 0.000
Cr 0.840 0.660 0.000
Hg 0.000 0.000 0.500
Hg 0.500 0.500 0.500
Os 0.128 0.628 0.500
Os 0.372 0.128 0.500
Os 0.628 0.872 0.500
Os 0.872 0.372 0.500



Record 2
Here is an optimized crystal structure of CrHgOs2 from Alexandria. Energies are from GGA-PBE.

Calculated values
Its final energy is -29.336 eV per cell. As for the space group: P4/mmm (123). For the formation enthalpy at 0 K, the calculation gives 0.762 eV/atom.

Unit cell a=3.933 b=3.933 c=3.992 alpha=90.00 beta=90.00 gamma=90.00
Positions (direct):
Cr 0.000 0.000 0.000
Hg 0.500 0.500 0.000
Os 0.000 0.500 0.500
Os 0.500 0.000 0.500



Record 3
Here is an optimized crystal structure of CrHgOs2 from Alexandria. Energies are from GGA-PBE.

Calculated values
Its final energy is -28.848 eV per cell. As for the space group: F-43m (216). For the formation enthalpy at 0 K, the calculation gives 0.884 eV/atom.

Unit cell a=4.474 b=4.474 c=4.474 alpha=60.00 beta=60.00 gamma=60.00
Positions (direct):
Cr 0.000 0.000 0.000
Hg 0.750 0.750 0.750
Os 0.250 0.250 0.250
Os 0.500 0.500 0.500



Which of these has the lowest formation enthalpy at 0 K?
Cr2HgOs2



final energy of number 2 (CrHgOs2)?
-29.336 eV per cell